(1)
A relaxed Hf3Si2 crystal, computed with GGA-PBEsol.

Output
The energy relative to the elements, uncorrected comes out at -83.64 kJ per mole of atoms. The total moment is 0.0 μB/cell. As for the space group: P4/mbm.

a = 3.603 Å, b = 6.975 Å, c = 6.975 Å
α = 90.00°, β = 90.00°, γ = 90.00°
Atoms (fractional coordinates):
Si: 0.000 0.124 0.624
Si: 0.000 0.876 0.376
Si: 0.000 0.376 0.124
Si: 0.000 0.624 0.876
Hf: 0.500 0.326 0.826
Hf: 0.500 0.174 0.326
Hf: 0.000 0.500 0.500
Hf: 0.500 0.674 0.174
Hf: 0.500 0.826 0.674
Hf: 0.000 0.000 0.000

***

(2)
A relaxed CdCoOs2 crystal, computed with GGA-PBEsol.

Output
The value obtained for the formation energy is 39.8 kJ/mol of atoms. The total moment is 0.0 μB/cell. As for the space group: Immm.

a = 2.687 Å, b = 4.396 Å, c = 5.487 Å
α = 113.64°, β = 104.17°, γ = 90.00°
Atoms (fractional coordinates):
Os: 0.214 0.214 0.428
Os: 0.786 0.786 0.572
Cd: 0.000 0.500 0.000
Co: 0.500 0.000 0.000

***

(3)
A relaxed Ho3Tl5 crystal, computed with GGA-PBEsol.

Output
The value obtained for the formation energy is -35.1 kJ/mol of atoms. The total moment is 0.0 μB/cell. As for the space group: Cmcm.

a = 6.343 Å, b = 6.343 Å, c = 10.280 Å
α = 90.00°, β = 90.00°, γ = 102.36°
Atoms (fractional coordinates):
Tl: 0.699 0.699 0.537
Tl: 0.699 0.699 0.963
Tl: 0.064 0.509 0.250
Tl: 0.301 0.301 0.463
Tl: 0.301 0.301 0.037
Tl: 0.001 0.001 0.750
Tl: 0.999 0.999 0.250
Tl: 0.509 0.064 0.250
Tl: 0.491 0.936 0.750
Tl: 0.936 0.491 0.750
Ho: 0.608 0.608 0.250
Ho: 0.207 0.793 0.000
Ho: 0.392 0.392 0.750
Ho: 0.207 0.793 0.500
Ho: 0.793 0.207 0.000
Ho: 0.793 0.207 0.500